La2Te | meta-GGA SCAN | PBEsol geometry Values from VASP.

Cell and atoms, written as Quantum ESPRESSO input:
```
&SYSTEM
  ibrav = 0, nat = 3, ntyp = 2
/
ATOMIC_SPECIES
La 138.91 La.upf
Te 127.60 Te.upf
CELL_PARAMETERS angstrom
4.920 0.000 0.000
-2.460 4.261 0.000
0.000 0.000 4.851
ATOMIC_POSITIONS angstrom
La 0.000 2.841 1.288
La 2.460 1.420 3.563
Te 0.000 0.000 0.000
```

Final energy in eV/cell: -125.658
Magnetic moment in Bohr magnetons per cell: 0.00